Compound: YbVO2
Source: Alexandria via LeMat-Bulk
Functional: PBE+U
Structure: optimized geometry

Unit cell a=6.5528 b=6.5528 c=6.5528 alpha=60.00 beta=60.00 gamma=60.00
Closest atoms and distances in Å follow each position.
Fractional coordinates of all 16 atoms:
Yb 0.0000 0.0000 0.0000  6 O 2.39
Yb 0.0000 0.0000 0.5000  6 O 2.39
Yb 0.0000 0.5000 0.0000  6 O 2.39
Yb 0.5000 0.0000 0.0000  6 O 2.39
V 0.0000 0.5000 0.5000  6 O 2.24
V 0.5000 0.0000 0.5000  6 O 2.24
V 0.5000 0.5000 0.0000  6 O 2.24
V 0.5000 0.5000 0.5000  6 O 2.24
O 0.2580 0.2580 0.2580  3 V 2.24, 3 Yb 2.39
O 0.2580 0.2580 0.7259  3 V 2.24, 3 Yb 2.39
O 0.2580 0.7259 0.2580  3 V 2.24, 3 Yb 2.39
O 0.2741 0.7420 0.7420  3 V 2.24, 3 Yb 2.39
O 0.7259 0.2580 0.2580  3 V 2.24, 3 Yb 2.39
O 0.7420 0.2741 0.7420  3 V 2.24, 3 Yb 2.39
O 0.7420 0.7420 0.2741  3 V 2.24, 3 Yb 2.39
O 0.7420 0.7420 0.7420  3 V 2.24, 3 Yb 2.39

## Properties
- Symmetry: Fd-3m
- VASP energy: -111.239 eV per cell